# GGA+U Os2WOF, relaxed
# E ... -5.343 eV/atom
data_Os2WOF
_space_group_name_H-M_alt 'P 4/m m m'
_space_group_IT_number 123
_space_group_name_Hall '-P 4 2'
_cell_length_a 3.9814
_cell_length_b 3.9814
_cell_length_c 5.1088
_cell_angle_alpha 90.00
_cell_angle_beta 90.00
_cell_angle_gamma 90.00
loop_
_atom_site_label
_atom_site_type_symbol
_atom_site_fract_x
_atom_site_fract_y
_atom_site_fract_z
_atom_site_occupancy
Os1 Os 0.0000 0.5000 0.0000 1
W1 W 0.0000 0.0000 0.5000 1
O1 O 0.5000 0.5000 0.5000 1
F1 F 0.0000 0.0000 0.0000 1